LaBeHg (PBE-GGA, relaxed); crystal system = hexagonal; formation energy = -114 meV per atom; density of states at the Fermi level = 4.3 states/eV per cell; total energy = -9.30 eV/f.u.
1.0
4.276 0.000 0.000
-2.138 3.703 0.000
0.000 0.000 4.515
Be Hg La
1 1 1
direct
0.000 0.000 0.167 Be
0.667 0.333 0.166 Hg
0.333 0.667 0.667 La